#A
# ZrNiW3 | the Alexandria database | PBE | optimized geometry
# symmetry	Pm-3m, No. 221
data_ZrNiW3
_chemical_formula_sum 'Zr1 Ni1 W3'
_symmetry_space_group_name_H-M 'P 1'
_symmetry_Int_Tables_number 1
_cell_length_a 4.538
_cell_length_b 4.538
_cell_length_c 4.538
_cell_angle_alpha 90.00
_cell_angle_beta 90.00
_cell_angle_gamma 90.00
loop_
_symmetry_equiv_pos_as_xyz
'x,y,z'
loop_
_atom_site_label
_atom_site_fract_x
_atom_site_fract_y
_atom_site_fract_z
Zr1 0.000 0.000 0.000
Ni1 0.500 0.500 0.500
W1 0.000 0.500 0.500
W2 0.500 0.000 0.500
W3 0.500 0.500 0.000

=====

#B
# ZrNiW3 | the Alexandria database | PBE | optimized geometry
# symmetry	Pm-3m, No. 221
data_ZrNiW3
_chemical_formula_sum 'Zr1 Ni1 W3'
_symmetry_space_group_name_H-M 'P 1'
_symmetry_Int_Tables_number 1
_cell_length_a 4.766
_cell_length_b 4.766
_cell_length_c 4.766
_cell_angle_alpha 90.00
_cell_angle_beta 90.00
_cell_angle_gamma 90.00
loop_
_symmetry_equiv_pos_as_xyz
'x,y,z'
loop_
_atom_site_label
_atom_site_fract_x
_atom_site_fract_y
_atom_site_fract_z
Zr1 0.000 0.000 0.000
Ni1 0.500 0.500 0.500
W1 0.000 0.000 0.500
W2 0.000 0.500 0.000
W3 0.500 0.000 0.000

=====

Relative energy of each structure, in meV per atom: #A 0; #B 1600.

=====

#A
# Y3Ni4 | the Alexandria database | PBE | optimized geometry
# symmetry	Cmcm, No. 63
data_Y3Ni4
_chemical_formula_sum 'Y6 Ni8'
_symmetry_space_group_name_H-M 'P 1'
_symmetry_Int_Tables_number 1
_cell_length_a 5.287
_cell_length_b 5.287
_cell_length_c 13.021
_cell_angle_alpha 90.00
_cell_angle_beta 90.00
_cell_angle_gamma 134.57
loop_
_symmetry_equiv_pos_as_xyz
'x,y,z'
loop_
_atom_site_label
_atom_site_fract_x
_atom_site_fract_y
_atom_site_fract_z
Y1 0.001 0.999 0.750
Y2 0.285 0.715 0.602
Y3 0.285 0.715 0.898
Y4 0.715 0.285 0.102
Y5 0.715 0.285 0.398
Y6 0.999 0.001 0.250
Ni1 0.000 0.000 0.000
Ni2 0.000 0.000 0.500
Ni3 0.293 0.707 0.250
Ni4 0.428 0.572 0.087
Ni5 0.428 0.572 0.413
Ni6 0.572 0.428 0.587
Ni7 0.572 0.428 0.913
Ni8 0.707 0.293 0.750

=====

#B
# Y3Ni4 | the Alexandria database | PBE | optimized geometry
# symmetry	R-3, No. 148
data_Y3Ni4
_chemical_formula_sum 'Y6 Ni8'
_symmetry_space_group_name_H-M 'P 1'
_symmetry_Int_Tables_number 1
_cell_length_a 7.635
_cell_length_b 7.635
_cell_length_c 7.635
_cell_angle_alpha 114.59
_cell_angle_beta 114.59
_cell_angle_gamma 114.59
loop_
_symmetry_equiv_pos_as_xyz
'x,y,z'
loop_
_atom_site_label
_atom_site_fract_x
_atom_site_fract_y
_atom_site_fract_z
Y1 0.031 0.406 0.283
Y2 0.283 0.031 0.406
Y3 0.406 0.283 0.031
Y4 0.594 0.717 0.969
Y5 0.717 0.969 0.594
Y6 0.969 0.594 0.717
Ni1 0.000 0.000 0.000
Ni2 0.049 0.213 0.554
Ni3 0.213 0.554 0.049
Ni4 0.446 0.951 0.787
Ni5 0.500 0.500 0.500
Ni6 0.554 0.049 0.213
Ni7 0.787 0.446 0.951
Ni8 0.951 0.787 0.446

=====

Relative energy of each structure, in meV per atom: #A 0; #B 67.